Density functional theory data (GGA+U) for crystalline Np2CoNiO8 at its relaxed geometry.

uncorrected energy	-97.99	eV for the cell shown
space-group type	I-4m2 (119)

Lattice parameters (Å, degrees): 5.864 5.864 5.864 111.39 111.39 105.70
Element x y z (fractional)
Np  0.750  0.250  0.500
Np  0.500  0.500  0.000
Co  0.000  0.000  0.000
Ni  0.250  0.750  0.500
O  0.399  0.203  0.195
O  0.455  0.760  0.305
O  0.455  0.150  0.695
O  0.008  0.203  0.805
O  0.850  0.545  0.305
O  0.797  0.992  0.195
O  0.797  0.601  0.805
O  0.240  0.545  0.695